Record 1
Nd3AlNi8 after structural relaxation. Source: Alexandria via LeMat-Bulk, functional GGA-PBE.

Unit cell a=5.1566 b=5.1566 c=16.2880 alpha=90.00 beta=90.00 gamma=120.00
Space group P6_3/mmc (No. 194)
Asymmetric unit:
Nd 0.3333 0.6667 0.0456
Nd 0.3333 0.6667 0.2500
Al 0.0000 0.0000 0.0000
Ni 0.0000 0.0000 0.2500
Ni 0.1680 0.3360 0.6270
Ni 0.3333 0.6667 0.7500

Computed properties:
E_form = -33 kJ/mol of atoms
Fermi-level density of states = 9.4 states/eV/f.u.
total DFT energy (no corrections) = -5.70 eV/atom
size of the total moment = 0.0 μB per formula unit
volume = 375 Å³/cell
ρ = 8228 kg/m3

Record 2
BaTl2Pb6 after structural relaxation. Source: Alexandria via LeMat-Bulk, functional GGA-PBE.

Unit cell a=8.9969 b=9.9332 c=6.6966 alpha=90.00 beta=98.11 gamma=90.00
Space group C2/m (No. 12)
Asymmetric unit:
Ba 0.0000 0.0000 0.0000
Tl 0.1560 0.5000 0.6563
Pb 0.0000 0.1722 0.5000
Pb 0.1636 0.3363 0.1721

Computed properties:
E_form = -12 kJ/mol of atoms
Fermi-level density of states = 6.6 states/eV/f.u.
total DFT energy (no corrections) = -3.34 eV/atom
size of the total moment = 0.0 μB per formula unit
volume = 592 Å³/cell
ρ = 10030 kg/m3

Record 3
CsTiBi2Pd after structural relaxation. Source: Alexandria via LeMat-Bulk, functional GGA-PBE.

Unit cell a=5.5165 b=5.5165 c=5.1955 alpha=90.00 beta=90.00 gamma=90.00
Space group P4/mmm (No. 123)
Asymmetric unit:
Cs 0.0000 0.0000 0.0000
Ti 0.5000 0.5000 0.5000
Bi 0.0000 0.5000 0.5000
Pd 0.5000 0.5000 0.0000

Computed properties:
E_form = 12 kJ/mol of atoms
Fermi-level density of states = 5.3 states/eV/f.u.
total DFT energy (no corrections) = -4.22 eV/atom
size of the total moment = 0.0 μB per formula unit
volume = 158 Å³/cell
ρ = 7406 kg/m3

Record 4
Ca3Sm after structural relaxation. Source: Alexandria via LeMat-Bulk, functional GGA-PBE.

Unit cell a=3.7527 b=12.5548 c=6.6479 alpha=90.00 beta=90.00 gamma=90.00
Space group Imm2 (No. 44)
Asymmetric unit:
Ca 0.0000 0.0000 0.0000
Ca 0.0000 0.2466 0.3275
Sm 0.0000 0.5000 0.0007

Computed properties:
E_form = 9 kJ/mol of atoms
Fermi-level density of states = 6.8 states/eV/f.u.
total DFT energy (no corrections) = -2.59 eV/atom
size of the total moment = 0.9 μB per formula unit
volume = 313 Å³/cell
ρ = 2869 kg/m3

Record 5
PC after structural relaxation. Source: Alexandria via LeMat-Bulk, functional GGA-PBE.

Unit cell a=2.4702 b=2.4702 c=24.3246 alpha=90.00 beta=90.00 gamma=120.00
Space group P6_3/mmc (No. 194)
Asymmetric unit:
P 0.3333 0.6667 0.0684
C 0.0000 0.0000 0.2500
C 0.3333 0.6667 0.7500

Computed properties:
E_form = 48 kJ/mol of atoms
Fermi-level density of states = 0.6 states/eV/f.u.
total DFT energy (no corrections) = -6.82 eV/atom
size of the total moment = 0.0 μB per formula unit
volume = 129 Å³/cell
ρ = 2221 kg/m3

Record 6
Tb4HoIn5 after structural relaxation. Source: Alexandria via LeMat-Bulk, functional GGA-PBE.

Unit cell a=3.7562 b=3.7562 c=18.9753 alpha=90.00 beta=90.00 gamma=90.00
Space group P4/mmm (No. 123)
Asymmetric unit:
Tb 0.0000 0.0000 0.1005
Tb 0.0000 0.0000 0.3014
Ho 0.0000 0.0000 0.5000
In 0.5000 0.5000 0.0000
In 0.5000 0.5000 0.2009
In 0.5000 0.5000 0.4020

Computed properties:
E_form = -45 kJ/mol of atoms
Fermi-level density of states = 6.2 states/eV/f.u.
total DFT energy (no corrections) = -4.15 eV/atom
size of the total moment = 0.0 μB per formula unit
volume = 268 Å³/cell
ρ = 8527 kg/m3

Record 7
LiMo4Pb after structural relaxation. Source: Alexandria via LeMat-Bulk, functional GGA-PBE.

Unit cell a=7.5654 b=7.5654 c=7.5654 alpha=90.00 beta=90.00 gamma=90.00
Space group F-43m (No. 216)
Asymmetric unit:
Li 0.0000 0.0000 0.0000
Mo 0.1269 0.1269 0.6269
Pb 0.2500 0.2500 0.2500

Computed properties:
E_form = 55 kJ/mol of atoms
Fermi-level density of states = 7.1 states/eV/f.u.
total DFT energy (no corrections) = -7.59 eV/atom
size of the total moment = 0.0 μB per formula unit
volume = 433 Å³/cell
ρ = 9172 kg/m3

Record 8
Th3Co5C2 after structural relaxation. Source: Alexandria via LeMat-Bulk, functional GGA-PBE.

Unit cell a=6.3022 b=14.6663 c=7.2768 alpha=90.00 beta=90.00 gamma=90.00
Space group Ibam (No. 72)
Asymmetric unit:
Th 0.0000 0.0000 0.2500
Th 0.1420 0.3233 0.0000
Co 0.0000 0.1755 0.2500
Co 0.0000 0.5000 0.2500
Co 0.2012 0.4237 0.5000
C 0.0498 0.1502 0.0000

Computed properties:
E_form = -6 kJ/mol of atoms
Fermi-level density of states = 9.1 states/eV/f.u.
total DFT energy (no corrections) = -7.68 eV/atom
size of the total moment = 1.9 μB per formula unit
volume = 673 Å³/cell
ρ = 10022 kg/m3

Record 9
Fe after structural relaxation. Source: Alexandria via LeMat-Bulk, functional GGA-PBE.

Unit cell a=9.7293 b=9.7293 c=2.3805 alpha=90.00 beta=90.00 gamma=120.00
Space group P6_3/m (No. 176)
Asymmetric unit:
Fe 0.0982 0.4284 0.2500
Fe 0.1294 0.6531 0.2500

Computed properties:
E_form = 102 kJ/mol of atoms
Fermi-level density of states = 1.0 states/eV/f.u.
total DFT energy (no corrections) = -7.41 eV/atom
size of the total moment = 0.0 μB per formula unit
volume = 195 Å³/cell
ρ = 5702 kg/m3

Record 10
PuCdPb2 after structural relaxation. Source: Alexandria via LeMat-Bulk, functional GGA-PBE.

Unit cell a=4.8719 b=4.8719 c=4.5703 alpha=90.00 beta=90.00 gamma=90.00
Space group P4/mmm (No. 123)
Asymmetric unit:
Pu 0.0000 0.0000 0.0000
Cd 0.5000 0.5000 0.0000
Pb 0.0000 0.5000 0.5000

Computed properties:
E_form = -14 kJ/mol of atoms
Fermi-level density of states = 11.9 states/eV/f.u.
total DFT energy (no corrections) = -5.81 eV/atom
size of the total moment = 5.7 μB per formula unit
volume = 108 Å³/cell
ρ = 11799 kg/m3

Record 11
K2SiTc after structural relaxation. Source: Alexandria via LeMat-Bulk, functional GGA-PBE.

Unit cell a=2.9463 b=2.9463 c=35.0249 alpha=90.00 beta=90.00 gamma=120.00
Space group R-3m (No. 166, hexagonal axes)
Asymmetric unit:
K 0.0000 0.0000 0.2494
Si 0.0000 0.0000 0.5000
Tc 0.0000 0.0000 0.0000

Computed properties:
Fermi-level density of states = 2.6 states/eV/f.u.
total DFT energy (no corrections) = -3.35 eV/atom
ΔE_f (raw) = 1.141 eV per atom
size of the total moment = 0.6 μB per formula unit
volume = 263 Å³/cell
ρ = 3865 kg/m3

Record 12
Rb2AgHg2 after structural relaxation. Source: Alexandria via LeMat-Bulk, functional GGA-PBE.

Unit cell a=9.9920 b=9.9920 c=4.4224 alpha=90.00 beta=90.00 gamma=90.00
Space group P4/mbm (No. 127)
Asymmetric unit:
Rb 0.1863 0.3137 0.0000
Ag 0.0000 0.0000 0.0000
Hg 0.1099 0.6099 0.5000

Computed properties:
E_form = 4 kJ/mol of atoms
Fermi-level density of states = 4.6 states/eV/f.u.
total DFT energy (no corrections) = -1.04 eV/atom
size of the total moment = 0.0 μB per formula unit
volume = 442 Å³/cell
ρ = 5115 kg/m3

Record 13
YMgSc6 after structural relaxation. Source: Alexandria via LeMat-Bulk, functional GGA-PBE.

Unit cell a=6.6697 b=6.6697 c=5.2488 alpha=90.00 beta=90.00 gamma=120.00
Space group P-6m2 (No. 187)
Asymmetric unit:
Y 0.0000 0.0000 0.0000
Mg 0.3333 0.6667 0.5000
Sc 0.3343 0.1672 0.5000
Sc 0.5026 0.0051 0.0000

Computed properties:
E_form = 5 kJ/mol of atoms
Fermi-level density of states = 13.9 states/eV/f.u.
total DFT energy (no corrections) = -5.71 eV/atom
size of the total moment = 1.7 μB per formula unit
volume = 202 Å³/cell
ρ = 3144 kg/m3

Record 14
Al3Sb2 after structural relaxation. Source: Alexandria via LeMat-Bulk, functional GGA-PBE.

Unit cell a=4.1084 b=4.1084 c=23.9756 alpha=90.00 beta=90.00 gamma=120.00
Space group R-3m (No. 166, hexagonal axes)
Asymmetric unit:
Al 0.0000 0.0000 0.0000
Al 0.0000 0.0000 0.1999
Sb 0.0000 0.0000 0.4028

Computed properties:
Fermi-level density of states = 1.8 states/eV/f.u.
total DFT energy (no corrections) = -3.78 eV/atom
ΔE_f (raw) = 0.115 eV per atom
size of the total moment = 0.0 μB per formula unit
volume = 350 Å³/cell
ρ = 4612 kg/m3

Record 15
NaCa6Hg after structural relaxation. Source: Alexandria via LeMat-Bulk, functional GGA-PBE.

Unit cell a=7.6706 b=7.6789 c=7.6853 alpha=61.29 beta=61.27 gamma=61.48
Space group P-1 (No. 2)
Asymmetric unit:
Na 0.0000 0.0000 0.0000
Ca 0.0562 0.4772 0.7279
Ca 0.2722 0.9419 0.5243
Ca 0.4759 0.7275 0.0583
Hg 0.5000 0.5000 0.5000

Computed properties:
E_form = 4 kJ/mol of atoms
Fermi-level density of states = 7.0 states/eV/f.u.
total DFT energy (no corrections) = -1.66 eV/atom
size of the total moment = 0.0 μB per formula unit
volume = 330 Å³/cell
ρ = 2337 kg/m3

Record 16
Re2PbCl after structural relaxation. Source: Alexandria via LeMat-Bulk, functional GGA-PBE.

Unit cell a=3.2937 b=3.2937 c=6.4772 alpha=90.00 beta=90.00 gamma=90.00
Space group P4/mmm (No. 123)
Asymmetric unit:
Re 0.0000 0.0000 0.1984
Pb 0.5000 0.5000 0.5000
Cl 0.5000 0.5000 0.0000

Computed properties:
Fermi-level density of states = 3.2 states/eV/f.u.
total DFT energy (no corrections) = -6.13 eV/atom
ΔE_f (raw) = 1.488 eV per atom
size of the total moment = 0.0 μB per formula unit
volume = 70 Å³/cell
ρ = 14535 kg/m3

Record 17
NaTmTh2Se4 after structural relaxation. Source: Alexandria via LeMat-Bulk, functional GGA-PBE.

Unit cell a=6.9180 b=3.9801 c=7.6341 alpha=90.00 beta=107.12 gamma=90.00
Space group P2/m (No. 10)
Asymmetric unit:
Na 0.0000 0.0000 0.0000
Tm 0.5000 0.5000 0.0000
Th 0.0000 0.5000 0.5000
Th 0.5000 0.0000 0.5000
Se 0.2490 0.5000 0.2345
Se 0.2577 0.0000 0.7707

Computed properties:
Fermi-level density of states = 4.0 states/eV/f.u.
total DFT energy (no corrections) = -5.87 eV/atom
ΔE_f (raw) = -1.545 eV per atom
size of the total moment = 0.0 μB per formula unit
volume = 201 Å³/cell
ρ = 8033 kg/m3

Record 18
NaDyCu4 after structural relaxation. Source: Alexandria via LeMat-Bulk, functional GGA-PBE.

Unit cell a=7.3056 b=7.3056 c=7.3056 alpha=90.00 beta=90.00 gamma=90.00
Space group F-43m (No. 216)
Asymmetric unit:
Na 0.0000 0.0000 0.0000
Dy 0.2500 0.2500 0.7500
Cu 0.1259 0.1259 0.3741

Computed properties:
E_form = -3 kJ/mol of atoms
Fermi-level density of states = 8.6 states/eV/f.u.
total DFT energy (no corrections) = -3.75 eV/atom
size of the total moment = 0.0 μB per formula unit
volume = 390 Å³/cell
ρ = 7490 kg/m3

Record 19
NaLaY2Os after structural relaxation. Source: Alexandria via LeMat-Bulk, functional GGA-PBE.

Unit cell a=5.5244 b=5.5244 c=5.6188 alpha=90.00 beta=90.00 gamma=90.00
Space group P4/mmm (No. 123)
Asymmetric unit:
Na 0.0000 0.0000 0.0000
La 0.5000 0.5000 0.0000
Y 0.0000 0.5000 0.5000
Os 0.5000 0.5000 0.5000

Computed properties:
E_form = -1 kJ/mol of atoms
Fermi-level density of states = 3.7 states/eV/f.u.
total DFT energy (no corrections) = -6.09 eV/atom
size of the total moment = 0.0 μB per formula unit
volume = 171 Å³/cell
ρ = 5132 kg/m3

Record 20
MoWN after structural relaxation. Source: Alexandria via LeMat-Bulk, functional GGA-PBE.

Unit cell a=2.8489 b=2.8489 c=5.2823 alpha=90.00 beta=90.00 gamma=120.00
Space group P3m1 (No. 156)
Asymmetric unit:
Mo 0.0000 0.0000 0.0000
W 0.6667 0.3333 0.4636
N 0.3333 0.6667 0.7295

Computed properties:
Fermi-level density of states = 2.4 states/eV/f.u.
total DFT energy (no corrections) = -10.71 eV/atom
ΔE_f (raw) = -0.010 eV per atom
size of the total moment = 0.0 μB per formula unit
volume = 37 Å³/cell
ρ = 13139 kg/m3

Record 21
Tb2CeNd after structural relaxation. Source: Alexandria via LeMat-Bulk, functional GGA-PBE.

Unit cell a=3.5639 b=3.5639 c=10.0896 alpha=90.00 beta=90.00 gamma=90.00
Space group P4/mmm (No. 123)
Asymmetric unit:
Tb 0.0000 0.0000 0.2393
Ce 0.5000 0.5000 0.0000
Nd 0.5000 0.5000 0.5000

Computed properties:
E_form = 6 kJ/mol of atoms
Fermi-level density of states = 7.7 states/eV/f.u.
total DFT energy (no corrections) = -4.93 eV/atom
size of the total moment = 0.6 μB per formula unit
volume = 128 Å³/cell
ρ = 7803 kg/m3

Record 22
LaYTaF2 after structural relaxation. Source: Alexandria via LeMat-Bulk, functional GGA-PBE.

Unit cell a=4.3121 b=4.3121 c=5.9459 alpha=90.00 beta=90.00 gamma=90.00
Space group P4/mmm (No. 123)
Asymmetric unit:
La 0.0000 0.0000 0.0000
Y 0.5000 0.5000 0.0000
Ta 0.5000 0.5000 0.5000
F 0.0000 0.5000 0.5000

Computed properties:
Fermi-level density of states = 4.7 states/eV/f.u.
total DFT energy (no corrections) = -6.05 eV/atom
ΔE_f (raw) = -0.651 eV per atom
size of the total moment = 0.0 μB per formula unit
volume = 111 Å³/cell
ρ = 6710 kg/m3

Record 23
GeMoRu3 after structural relaxation. Source: Alexandria via LeMat-Bulk, functional GGA-PBE.

Unit cell a=4.6852 b=4.6852 c=4.6852 alpha=90.00 beta=90.00 gamma=90.00
Space group Pm-3m (No. 221)
Asymmetric unit:
Ge 0.0000 0.0000 0.0000
Mo 0.5000 0.5000 0.5000
Ru 0.0000 0.5000 0.5000

Computed properties:
E_form = 151 kJ/mol of atoms
Fermi-level density of states = 6.2 states/eV/f.u.
total DFT energy (no corrections) = -7.09 eV/atom
size of the total moment = 0.8 μB per formula unit
volume = 103 Å³/cell
ρ = 7617 kg/m3

Record 24
PuSn2Au6 after structural relaxation. Source: Alexandria via LeMat-Bulk, functional GGA-PBE.

Unit cell a=8.7056 b=7.4262 c=6.1473 alpha=90.00 beta=98.11 gamma=90.00
Space group C2/m (No. 12)
Asymmetric unit:
Pu 0.0000 0.0000 0.0000
Sn 0.0914 0.5000 0.7766
Au 0.0000 0.1843 0.5000
Au 0.2108 0.3098 0.2168

Computed properties:
E_form = -19 kJ/mol of atoms
Fermi-level density of states = 19.5 states/eV/f.u.
total DFT energy (no corrections) = -4.86 eV/atom
size of the total moment = 5.4 μB per formula unit
volume = 393 Å³/cell
ρ = 14039 kg/m3

Record 25
Co3TcC after structural relaxation. Source: Alexandria via LeMat-Bulk, functional GGA-PBE.

Unit cell a=3.7880 b=3.7880 c=3.7880 alpha=90.00 beta=90.00 gamma=90.00
Space group Pm-3m (No. 221)
Asymmetric unit:
Co 0.0000 0.0000 0.5000
Tc 0.5000 0.5000 0.5000
C 0.0000 0.0000 0.0000

Computed properties:
E_form = 33 kJ/mol of atoms
Fermi-level density of states = 4.2 states/eV/f.u.
total DFT energy (no corrections) = -7.84 eV/atom
size of the total moment = 5.4 μB per formula unit
volume = 54 Å³/cell
ρ = 8763 kg/m3